LiLa4Ru2 PBE-GGA optimized geometry; E = -5.903 eV per atom
1.0
-5.155 -2.500 4.834
-3.944 -4.704 -4.317
8.670 -1.396 2.485
Ru La Li
4 8 2
direct
0.611 0.855 0.389
0.093 0.355 0.502
0.398 0.159 0.003
0.783 0.528 0.888
0.879 0.005 0.237
0.284 0.593 0.193
0.968 0.179 0.710
0.782 0.492 0.209
0.484 0.108 0.738
0.846 0.658 0.690
0.426 0.722 0.914
0.440 0.237 0.414
0.175 0.727 0.558
0.081 0.130 0.055